(1)
# RbMgInBr4 | the Alexandria database | PBE-GGA | optimized geometry
# E: -3.0328 eV per atom
# crystal system: monoclinic
# ρ: 3.3 Mg/m³
# total magnetization: 0.00 μB per formula unit
# formation energy (no corrections): -1320 meV/atom
data_RbMgInBr4
_chemical_formula_sum 'Rb2 Mg2 In2 Br8'
_symmetry_space_group_name_H-M 'P 1 21/m 1'
_symmetry_Int_Tables_number 11
_cell_length_a 7.6980
_cell_length_b 7.7984
_cell_length_c 9.5813
_cell_angle_alpha 90.00
_cell_angle_beta 108.81
_cell_angle_gamma 90.00
loop_
_symmetry_equiv_pos_as_xyz
'x,y,z'
'-x,-y,-z'
'-x,y+1/2,-z'
'x,-y+1/2,z'
loop_
_atom_site_label
_atom_site_type_symbol
_atom_site_fract_x
_atom_site_fract_y
_atom_site_fract_z
Rb1 Rb 0.2303 0.2500 0.4388
Mg1 Mg 0.2654 0.7500 0.1919
In1 In 0.2853 0.2500 0.9615
Br1 Br 0.0679 0.7500 0.9267
Br2 Br 0.0700 0.7500 0.3567
Br3 Br 0.4812 0.0014 0.2524



(2)
# GeRu2C | the Alexandria database | PBE-GGA | optimized geometry
# E: -7.2919 eV per atom
# crystal system: cubic
# ρ: 9.7 Mg/m³
# total magnetization: 0.00 μB per formula unit
# ΔH_f (0 K): 806 meV/atom
data_GeRu2C
_chemical_formula_sum 'Ge4 Ru8 C4'
_symmetry_space_group_name_H-M 'F m -3 m'
_symmetry_Int_Tables_number 225
_symmetry_space_group_name_Hall '-F 4 2 3'
_cell_length_a 5.8185
_cell_length_b 5.8185
_cell_length_c 5.8185
_cell_angle_alpha 90.00
_cell_angle_beta 90.00
_cell_angle_gamma 90.00
loop_
_atom_site_label
_atom_site_type_symbol
_atom_site_fract_x
_atom_site_fract_y
_atom_site_fract_z
Ge1 Ge 0.0000 0.0000 0.0000
Ru1 Ru 0.2500 0.2500 0.2500
C1 C 0.0000 0.0000 0.5000



(3)
# TaTiRuW | the Alexandria database | PBE-GGA | optimized geometry
# E: -10.8488 eV per atom
# crystal system: tetragonal
# ρ: 13.4 Mg/m³
# total magnetization: 0.00 μB per formula unit
# ΔH_f (0 K): -355 meV/atom
data_TaTiRuW
_chemical_formula_sum 'Ta1 Ti1 Ru1 W1'
_symmetry_space_group_name_H-M 'P 4 m m'
_symmetry_Int_Tables_number 99
_cell_length_a 3.1616
_cell_length_b 3.1616
_cell_length_c 6.3805
_cell_angle_alpha 90.00
_cell_angle_beta 90.00
_cell_angle_gamma 90.00
loop_
_symmetry_equiv_pos_as_xyz
'x,y,z'
'-y,x,z'
'-x,-y,z'
'y,-x,z'
'-x,y,z'
'y,x,z'
'x,-y,z'
'-y,-x,z'
loop_
_atom_site_label
_atom_site_type_symbol
_atom_site_fract_x
_atom_site_fract_y
_atom_site_fract_z
Ta1 Ta 0.0000 0.0000 0.0000
Ti1 Ti 0.0000 0.0000 0.4959
Ru1 Ru 0.5000 0.5000 0.2498
W1 W 0.5000 0.5000 0.7426



(4)
# K2LiSc | the Alexandria database | PBE-GGA | optimized geometry
# E: -2.0666 eV per atom
# crystal system: monoclinic
# ρ: 1.3 Mg/m³
# total magnetization: 1.34 μB per formula unit
# ΔH_f (0 K): 544 meV/atom
data_K2LiSc
_chemical_formula_sum 'K4 Li2 Sc2'
_symmetry_space_group_name_H-M 'C 1 2/m 1'
_symmetry_Int_Tables_number 12
_cell_length_a 7.5216
_cell_length_b 12.9602
_cell_length_c 3.4689
_cell_angle_alpha 90.00
_cell_angle_beta 108.83
_cell_angle_gamma 90.00
loop_
_symmetry_equiv_pos_as_xyz
'x,y,z'
'-x,-y,-z'
'-x,y,-z'
'x,-y,z'
'x+1/2,y+1/2,z'
'-x+1/2,-y+1/2,-z'
'-x+1/2,y+1/2,-z'
'x+1/2,-y+1/2,z'
loop_
_atom_site_label
_atom_site_type_symbol
_atom_site_fract_x
_atom_site_fract_y
_atom_site_fract_z
K1 K 0.2500 0.2500 0.0000
Li1 Li 0.0000 0.0000 0.5000
Sc1 Sc 0.0000 0.5000 0.5000



(5)
# Ho2Ga6Au3 | the Alexandria database | PBE-GGA | optimized geometry
# E: -3.8817 eV per atom
# crystal system: hexagonal
# ρ: 10.1 Mg/m³
# total magnetization: 0.00 μB per formula unit
# ΔH_f (0 K): -504 meV/atom
data_Ho2Ga6Au3
_chemical_formula_sum 'Ho2 Ga6 Au3'
_symmetry_space_group_name_H-M 'P -6 2 m'
_symmetry_Int_Tables_number 189
_symmetry_space_group_name_Hall 'P -6 -2'
_cell_length_a 7.8465
_cell_length_b 7.8465
_cell_length_c 4.1345
_cell_angle_alpha 90.00
_cell_angle_beta 90.00
_cell_angle_gamma 120.00
loop_
_atom_site_label
_atom_site_type_symbol
_atom_site_fract_x
_atom_site_fract_y
_atom_site_fract_z
Ho1 Ho 0.3333 0.6667 0.0000
Ga1 Ga 0.0000 0.3012 0.5000
Ga2 Ga 0.0000 0.8115 0.0000
Au1 Au 0.0000 0.6216 0.5000



(6)
# InTe2Cl | the Alexandria database | PBE-GGA | optimized geometry
# E: -2.8626 eV per atom
# crystal system: trigonal
# ρ: 5.4 Mg/m³
# total magnetization: 0.00 μB per formula unit
# formation energy (no corrections): -146 meV/atom
data_InTe2Cl
_chemical_formula_sum 'In3 Te6 Cl3'
_symmetry_space_group_name_H-M 'R 3 m'
_symmetry_Int_Tables_number 160
_symmetry_space_group_name_Hall 'R 3 -2"'
_cell_length_a 3.9878
_cell_length_b 3.9878
_cell_length_c 27.3040
_cell_angle_alpha 90.00
_cell_angle_beta 90.00
_cell_angle_gamma 120.00
loop_
_atom_site_label
_atom_site_type_symbol
_atom_site_fract_x
_atom_site_fract_y
_atom_site_fract_z
In1 In 0.0000 0.0000 0.0000
Te1 Te 0.0000 0.0000 0.2595
Te2 Te 0.0000 0.0000 0.5140
Cl1 Cl 0.0000 0.0000 0.7281



(7)
# BiSbP2O | the Alexandria database | PBE-GGA | optimized geometry
# E: -4.5611 eV per atom
# crystal system: tetragonal
# ρ: 6.4 Mg/m³
# total magnetization: 0.00 μB per formula unit
# formation energy (no corrections): 195 meV/atom
data_BiSbP2O
_chemical_formula_sum 'Bi1 Sb1 P2 O1'
_symmetry_space_group_name_H-M 'P 4/m m m'
_symmetry_Int_Tables_number 123
_symmetry_space_group_name_Hall '-P 4 2'
_cell_length_a 5.1549
_cell_length_b 5.1549
_cell_length_c 3.9704
_cell_angle_alpha 90.00
_cell_angle_beta 90.00
_cell_angle_gamma 90.00
loop_
_atom_site_label
_atom_site_type_symbol
_atom_site_fract_x
_atom_site_fract_y
_atom_site_fract_z
Bi1 Bi 0.0000 0.0000 0.0000
Sb1 Sb 0.5000 0.5000 0.5000
P1 P 0.0000 0.5000 0.5000
O1 O 0.5000 0.5000 0.0000



(8)
# Li2ZnCd4 | the Alexandria database | PBE-GGA | optimized geometry
# E: -1.3462 eV per atom
# crystal system: monoclinic
# ρ: 6.3 Mg/m³
# total magnetization: 0.00 μB per formula unit
# ΔH_f (0 K): -94 meV/atom
data_Li2ZnCd4
_chemical_formula_sum 'Li4 Zn2 Cd8'
_symmetry_space_group_name_H-M 'C 1 2/m 1'
_symmetry_Int_Tables_number 12
_cell_length_a 5.6347
_cell_length_b 9.2524
_cell_length_c 5.3799
_cell_angle_alpha 90.00
_cell_angle_beta 92.64
_cell_angle_gamma 90.00
loop_
_symmetry_equiv_pos_as_xyz
'x,y,z'
'-x,-y,-z'
'-x,y,-z'
'x,-y,z'
'x+1/2,y+1/2,z'
'-x+1/2,-y+1/2,-z'
'-x+1/2,y+1/2,-z'
'x+1/2,-y+1/2,z'
loop_
_atom_site_label
_atom_site_type_symbol
_atom_site_fract_x
_atom_site_fract_y
_atom_site_fract_z
Li1 Li 0.0308 0.0000 0.2511
Zn1 Zn 0.0000 0.5000 0.0000
Cd1 Cd 0.0000 0.3341 0.5000
Cd2 Cd 0.2500 0.2500 0.0000